[1]
{"formula": "Pm12Nd6Y", "functional": "PBE", "state": "optimized geometry", "lattice_angstrom": [[6.143, 3.547, 5.115], [-6.143, 3.547, 5.115], [0.000, -7.093, 5.115]], "species": ["Pm", "Pm", "Pm", "Pm", "Pm", "Pm", "Pm", "Pm", "Pm", "Pm", "Pm", "Pm", "Nd", "Nd", "Nd", "Nd", "Nd", "Nd", "Y"], "frac_coords": [[0.017, 0.359, 0.195], [0.195, 0.017, 0.359], [0.222, 0.564, 0.464], [0.359, 0.195, 0.017], [0.436, 0.536, 0.778], [0.464, 0.222, 0.564], [0.536, 0.778, 0.436], [0.564, 0.464, 0.222], [0.641, 0.805, 0.983], [0.778, 0.436, 0.536], [0.805, 0.983, 0.641], [0.983, 0.641, 0.805], [0.094, 0.262, 0.697], [0.262, 0.697, 0.094], [0.303, 0.906, 0.738], [0.697, 0.094, 0.262], [0.738, 0.303, 0.906], [0.906, 0.738, 0.303], [0.000, 0.000, 0.000]], "spacegroup": "R-3 (148)", "e_form_kj_per_mol_fu": 242, "total_magnetization_mub_per_cell": 0.00}

***

[2]
{"formula": "Co6NiIr", "functional": "PBE", "state": "optimized geometry", "lattice_angstrom": [[2.362, 1.364, 6.130], [-2.362, 1.364, 6.130], [0.000, -2.728, 6.130]], "species": ["Co", "Co", "Co", "Co", "Co", "Co", "Ni", "Ir"], "frac_coords": [[0.067, 0.067, 0.550], [0.067, 0.550, 0.067], [0.450, 0.933, 0.933], [0.550, 0.067, 0.067], [0.933, 0.450, 0.933], [0.933, 0.933, 0.450], [0.500, 0.500, 0.500], [0.000, 0.000, 0.000]], "spacegroup": "R-3m (166)", "e_form_kj_per_mol_fu": 564, "total_magnetization_mub_per_cell": 10.00}

***

[3]
{"formula": "LaHfGa2", "functional": "PBE", "state": "optimized geometry", "lattice_angstrom": [[7.106, 0.000, 0.000], [0.000, 7.106, 0.000], [0.000, 0.000, 7.106]], "species": ["La", "La", "La", "La", "Hf", "Hf", "Hf", "Hf", "Ga", "Ga", "Ga", "Ga", "Ga", "Ga", "Ga", "Ga"], "frac_coords": [[0.000, 0.000, 0.000], [0.000, 0.500, 0.500], [0.500, 0.000, 0.500], [0.500, 0.500, 0.000], [0.000, 0.000, 0.500], [0.000, 0.500, 0.000], [0.500, 0.000, 0.000], [0.500, 0.500, 0.500], [0.250, 0.250, 0.250], [0.250, 0.250, 0.750], [0.250, 0.750, 0.250], [0.250, 0.750, 0.750], [0.750, 0.250, 0.250], [0.750, 0.250, 0.750], [0.750, 0.750, 0.250], [0.750, 0.750, 0.750]], "spacegroup": "Fm-3m (225)", "e_form_kj_per_mol_fu": -126, "total_magnetization_mub_per_cell": 0.00}

***

For each record above, in turn, the calculated E_tot values are -4.714, -6.429, -5.559 eV/atom.